A plane-wave DFT calculation with PBE was carried out for a geometry-optimized Pr2PaPd structure.

```
Pr2PaPd
1.0
1.657 0.957 11.254
-1.657 0.957 11.254
0.000 -1.914 11.254
Pr Pa Pd
2 1 1
direct
0.096 0.096 0.096
0.904 0.904 0.904
0.000 0.000 0.000
0.500 0.500 0.500
```

Results
- Energy of formation: 0.135 eV/atom
- Total moment: 0.00 μB/cell
- Calculated density: 9.60 g cm⁻³
- Final energy: -0.21781 hartree per atom